(1)
First-principles (PBE-GGA) data for an optimized crystal structure of Tb2PuThSb4, as listed in Alexandria.

a = 4.449 Å, b = 7.680 Å, c = 7.693 Å
α = 70.46°, β = 90.00°, γ = 90.00°
Positions (direct):
Sb  0.500  0.244  0.754
Tb  0.000  0.000  0.000
Sb  0.000  0.247  0.249
Sb  0.500  0.756  0.246
Tb  0.500  0.000  0.500
Sb  0.000  0.753  0.751
Pu  0.500  0.500  0.000
Th  0.000  0.500  0.500


(2)
First-principles (PBE-GGA) data for an optimized crystal structure of TbPuTh2Sb5, as listed in Alexandria.

a = 5.299 Å, b = 5.299 Å, c = 11.510 Å
α = 90.00°, β = 90.00°, γ = 90.00°
Positions (direct):
Sb  0.000  0.000  0.751
Tb  0.000  0.000  0.500
Th  0.500  0.500  0.306
Sb  0.000  0.000  0.249
Sb  0.500  0.500  0.000
Sb  0.500  0.000  0.500
Th  0.500  0.500  0.694
Sb  0.000  0.500  0.500
Pu  0.000  0.000  0.000


(3)
First-principles (PBE-GGA) data for an optimized crystal structure of TbPu2ThSb4, as listed in Alexandria.

a = 4.462 Å, b = 7.695 Å, c = 7.708 Å
α = 70.44°, β = 90.00°, γ = 90.00°
Positions (direct):
Pu  0.000  0.000  0.000
Sb  0.500  0.249  0.747
Pu  0.500  0.000  0.500
Th  0.500  0.500  0.000
Sb  0.500  0.751  0.253
Sb  0.000  0.247  0.255
Tb  0.000  0.500  0.500
Sb  0.000  0.753  0.745


(4)
First-principles (PBE-GGA) data for an optimized crystal structure of TbPuTh2Sb4, as listed in Alexandria.

a = 4.480 Å, b = 7.749 Å, c = 7.709 Å
α = 109.62°, β = 90.00°, γ = 90.00°
Positions (direct):
Pu  0.000  0.000  0.000
Sb  0.000  0.747  0.244
Sb  0.500  0.249  0.244
Th  0.500  0.000  0.500
Th  0.000  0.500  0.500
Tb  0.500  0.500  0.000
Sb  0.000  0.253  0.756
Sb  0.500  0.751  0.756


(5)
First-principles (PBE-GGA) data for an optimized crystal structure of Tb2TmPuSb4, as listed in Alexandria.

a = 4.397 Å, b = 7.599 Å, c = 7.607 Å
α = 109.41°, β = 90.00°, γ = 90.00°
Positions (direct):
Sb  0.000  0.752  0.249
Tb  0.000  0.500  0.500
Sb  0.000  0.248  0.751
Pu  0.500  0.500  0.000
Tm  0.000  0.000  0.000
Sb  0.500  0.247  0.247
Sb  0.500  0.753  0.753
Tb  0.500  0.000  0.500


(6)
First-principles (PBE-GGA) data for an optimized crystal structure of TbTmPu2Sb4, as listed in Alexandria.

a = 4.405 Å, b = 7.628 Å, c = 7.594 Å
α = 109.56°, β = 90.00°, γ = 90.00°
Positions (direct):
Tm  0.000  0.000  0.000
Sb  0.500  0.753  0.753
Pu  0.000  0.500  0.500
Sb  0.000  0.248  0.751
Pu  0.500  0.000  0.500
Sb  0.000  0.752  0.249
Tb  0.500  0.500  0.000
Sb  0.500  0.247  0.247


(7)
First-principles (PBE-GGA) data for an optimized crystal structure of Pu2TcSb, as listed in Alexandria.

Calculated values
**Polymorph energy (0 for the lowest one)**: 14.4 meV/atom

a = 4.341 Å, b = 4.470 Å, c = 4.470 Å
α = 90.00°, β = 90.00°, γ = 90.00°
Positions (direct):
Pu  0.000  0.000  0.500
Pu  0.000  0.500  0.000
Sb  0.500  0.000  0.000
Tc  0.500  0.500  0.500


(8)
First-principles (PBE-GGA) data for an optimized crystal structure of PuTcSb2, as listed in Alexandria.

Calculated values
**Polymorph energy (0 for the lowest one)**: 12.2 meV/atom

a = 3.322 Å, b = 3.322 Å, c = 7.764 Å
α = 90.00°, β = 90.00°, γ = 90.00°
Positions (direct):
Pu  0.500  0.500  0.500
Sb  0.000  0.000  0.207
Sb  0.000  0.000  0.793
Tc  0.500  0.500  0.000


Number 1: ΔE_f (raw) -0.973 eV per atom. Number 2: ΔE_f (raw) -0.068 eV per atom. Number 3: ΔE_f (raw) -0.845 eV per atom. Number 4: ΔE_f (raw) -0.924 eV per atom. Number 5: ΔE_f (raw) -0.981 eV per atom. Number 6: ΔE_f (raw) -0.850 eV per atom. Number 7: ΔE_f (raw) -0.201 eV per atom. Number 8: ΔE_f (raw) -0.190 eV per atom.